{
  "formula": "GaPb2Br",
  "functional": "PBE-GGA",
  "state": "optimized geometry",
  "total_magnetization_mub_per_cell": 0.0,
  "energy_ev_per_cell": -12.2,
  "raw_formation_energy_ev_per_atom": -0.011,
  "sg": "Fm-3m (225)",
  "cell": [[0.771, -5.051, -1.718], [-0.603, -4.130, 3.413], [-4.200, -3.339, -0.525]],
  "species": ["Br", "Ga", "Pb", "Pb"],
  "fractional_positions": [[0.500, 0.500, 0.500], [0.000, 0.000, 0.000], [0.750, 0.750, 0.750], [0.250, 0.250, 0.250]]
}

***

{
  "formula": "GaPbBr2",
  "functional": "PBE-GGA",
  "state": "optimized geometry",
  "total_magnetization_mub_per_cell": 0.0,
  "energy_ev_per_cell": -11.5,
  "raw_formation_energy_ev_per_atom": -0.361,
  "sg": "Fm-3m (225)",
  "cell": [[0.000, 3.828, 3.828], [3.828, 0.000, 3.828], [3.828, 3.828, 0.000]],
  "species": ["Ga", "Br", "Br", "Pb"],
  "fractional_positions": [[0.000, 0.000, 0.000], [0.750, 0.750, 0.750], [0.250, 0.250, 0.250], [0.500, 0.500, 0.500]]
}

***

{
  "formula": "GaPbBr4",
  "functional": "PBE-GGA",
  "state": "optimized geometry",
  "total_magnetization_mub_per_cell": 0.0,
  "energy_ev_per_cell": -17.6,
  "raw_formation_energy_ev_per_atom": -0.700,
  "sg": "C2 (5)",
  "cell": [[-2.939, 4.204, -2.974], [-3.999, -3.980, -1.825], [-0.067, 1.042, 7.566]],
  "species": ["Pb", "Br", "Br", "Br", "Ga", "Br"],
  "fractional_positions": [[0.658, 0.158, 0.500], [0.887, 0.402, 0.985], [0.418, 0.903, 0.015], [0.194, 0.202, 0.573], [0.464, 0.464, 0.000], [0.629, 0.622, 0.427]]
}